Record 1
First-principles (PBE-GGA) data for a relaxed structure of Er2Si4Mo3, as listed in OQMD via LeMat-Bulk.

- calculated volume (A^3/atom) = 16.663
- calculated total energy (eV/cell) = -139.12
- magnetic moment (μB/cell) = 0.00

Cell lengths 6.8345, 6.9002, 6.7245 Å; angles 90.00, 108.95, 90.00 degrees
Last column: nearest neighbours and their distance in Å.
Space group P2_1/c (No. 14)
Unique sites:
Er (0.1906, 0.1700, 0.0614) x4  7 Si 2.79-3.02
Si (0.0896, 0.5438, 0.8669) x4  4 Mo 2.54-2.67, 1 Si 2.55, 1 Er 2.79
Si (0.4963, 0.6318, 0.6287) x4  1 Si 2.52, 5 Mo 2.53-2.69, 1 Er 2.81
Mo (0.2486, 0.6628, 0.2491) x4  6 Si 2.53-2.63
Mo (0.5000, 0.0000, 0.5000) x2  6 Si 2.65-2.69

=====

Record 2
First-principles (PBE-GGA) data for a relaxed structure of LuAlNi, as listed in OQMD via LeMat-Bulk.

- calculated volume (A^3/atom) = 21.784
- calculated total energy (eV/cell) = -50.42
- magnetic moment (μB/cell) = 0.00

Cell lengths 6.3940, 6.3940, 6.3940 Å; angles 90.00, 90.00, 90.00 degrees
Last column: nearest neighbours and their distance in Å.
Space group F-43m (No. 216)
Unique sites:
Lu (0.0000, 0.0000, 0.0000) x4  4 Ni 2.77, 4 Al 2.77
Al (0.2500, 0.2500, 0.7500) x4  4 Lu 2.77
Ni (0.2500, 0.2500, 0.2500) x4  4 Lu 2.77

=====

Record 3
First-principles (PBE-GGA) data for a relaxed structure of Nd3Sb3W2N12, as listed in OQMD via LeMat-Bulk.

- calculated volume (A^3/atom) = 13.857
- calculated total energy (eV/cell) = -1271.18
- magnetic moment (μB/cell) = 0.02

Cell lengths 13.0394, 13.0394, 13.0394 Å; angles 90.00, 90.00, 90.00 degrees
Last column: nearest neighbours and their distance in Å.
Space group Ia-3d (No. 230)
Unique sites:
Nd (0.0000, 0.2500, 0.1250) x24  8 N 2.55-2.60
Sb (0.0000, 0.2500, 0.3750) x24  4 N 2.00
W (0.0000, 0.0000, 0.0000) x16  6 N 2.03
N (0.0294, 0.0539, 0.6433) x96  1 Sb 2.00, 1 W 2.03

=====

Record 4
First-principles (PBE-GGA) data for a relaxed structure of Zr2BiPd, as listed in OQMD via LeMat-Bulk.

- calculated volume (A^3/atom) = 21.807
- calculated total energy (eV/cell) = -104.87
- magnetic moment (μB/cell) = 6.57

Cell lengths 7.0400, 7.0400, 7.0400 Å; angles 90.00, 90.00, 90.00 degrees
Last column: nearest neighbours and their distance in Å.
Space group F-43m (No. 216)
Unique sites:
Zr (0.0000, 0.0000, 0.0000) x4  4 Pd 3.05, 4 Zr 3.05
Zr (0.2500, 0.2500, 0.2500) x4  4 Zr 3.05, 4 Bi 3.05
Bi (0.0000, 0.0000, 0.5000) x4  4 Zr 3.05, 4 Pd 3.05
Pd (0.2500, 0.2500, 0.7500) x4  4 Bi 3.05, 4 Zr 3.05

=====

Record 5
First-principles (PBE-GGA) data for a relaxed structure of Tm3Zn2Ag, as listed in OQMD via LeMat-Bulk.

- calculated volume (A^3/atom) = 22.099
- ΔE_f (kJ/mol of atoms) = -34.5
- calculated total energy (eV/cell) = -20.92
- magnetic moment (μB/cell) = 0.00

Cell lengths 3.5382, 3.5382, 10.5920 Å; angles 90.00, 90.00, 90.00 degrees
Last column: nearest neighbours and their distance in Å.
Space group P4/mmm (No. 123)
Unique sites:
Tm (0.0000, 0.0000, 0.0000) x1  8 Zn 3.03
Tm (0.0000, 0.0000, 0.3270) x2  4 Zn 3.06, 4 Ag 3.10
Zn (0.5000, 0.5000, 0.1611) x2  8 Tm 3.03-3.06
Ag (0.5000, 0.5000, 0.5000) x1  8 Tm 3.10

=====

Record 6
First-principles (PBE-GGA) data for a relaxed structure of PmGaNi2, as listed in OQMD via LeMat-Bulk.

- calculated volume (A^3/atom) = 17.366
- calculated total energy (eV/cell) = -42.02
- magnetic moment (μB/cell) = 0.00

Cell lengths 4.1697, 4.1697, 9.2271 Å; angles 90.00, 90.00, 120.00 degrees
Last column: nearest neighbours and their distance in Å.
Space group P6_3/mmc (No. 194)
Unique sites:
Pm (0.3333, 0.6667, 0.2500) x2  8 Ni 2.81-3.01
Ga (0.0000, 0.0000, 0.0000) x2  6 Ni 2.46
Ni (0.3333, 0.6667, 0.5550) x4  3 Ga 2.46, 3 Ni 2.61